NaNdZnTe3 (PBE, optimized geometry); energy = -3.77 eV per atom; crystal system = orthorhombic; V = 30.63 A^3/atom; excess energy over the best structure of this formula in the dataset = 0.0218 eV/atom
1.0
12.5782 0.0000 0.0000
0.0000 4.4521 0.0000
0.0000 0.0000 13.1291
Zn Na Te Nd
4 4 12 4
Cartesian
9.4100 3.3391 10.3983 Zn
3.1209 3.3391 9.2953 Zn
3.1682 1.1130 2.7308 Zn
9.4574 1.1130 3.8338 Zn
2.3468 1.1130 6.7043 Na
3.9423 3.3391 0.1398 Na
8.6359 1.1130 12.9893 Na
10.2315 3.3391 6.4248 Na
5.0003 3.3391 7.4131 Te
8.9356 3.3391 2.3600 Te
9.9318 1.1130 8.9245 Te
3.6427 1.1130 10.7691 Te
2.6465 3.3391 4.2045 Te
1.2889 1.1130 0.8485 Te
5.6545 1.1130 1.8579 Te
11.9436 1.1130 4.7066 Te
11.2894 3.3391 12.2805 Te
6.9238 3.3391 11.2711 Te
7.5780 1.1130 5.7160 Te
0.6347 3.3391 8.4225 Te
6.6842 1.1130 8.9861 Nd
5.8941 3.3391 4.1430 Nd
12.1832 3.3391 2.4215 Nd
0.3950 1.1130 10.7075 Nd



ZrW (PBE, optimized geometry); energy = -10.61 eV per atom; crystal system = monoclinic; V = 19.04 A^3/atom; ΔH_f (0 K) = 0.15 eV per atom
1.0
-3.8135 -2.2838 5.7767
-0.3936 -5.2047 -4.1925
4.0005 -1.8430 1.9123
Zr W
6 6
Cartesian
-1.5611 -4.1880 5.2582 Zr
0.8776 -1.9874 2.2774 Zr
0.7081 -4.4959 0.2145 Zr
-3.9537 -7.2191 1.3137 Zr
-1.5150 -5.0184 -1.6671 Zr
-3.7842 -4.7106 3.3765 Zr
-1.7606 -6.7905 3.1675 W
-1.3156 -2.4161 0.4236 W
-0.5061 -4.4734 2.7763 W
-0.6891 -6.9784 0.7449 W
-2.5700 -4.7332 0.8147 W
-2.3870 -2.2282 2.8461 W



AgCO2 (PBE, optimized geometry); energy = -6.23 eV per atom; crystal system = monoclinic; V = 12.19 A^3/atom
1.0
3.3720 0.0000 0.0146
0.0000 6.2571 0.0000
-2.1286 0.0000 9.2372
Ag C O
4 4 8
Cartesian
1.1130 3.1642 7.8439 Ag
0.1303 3.0929 1.4079 Ag
-0.9340 0.0356 6.0265 Ag
2.1773 6.2215 3.2253 Ag
-0.1114 0.6960 9.2199 C
1.3548 5.5611 0.0319 C
0.2905 3.8245 4.6505 C
0.9529 2.4326 4.6013 C
0.3733 4.4634 5.7398 O
0.8700 1.7937 3.5120 O
1.5375 2.0495 5.6587 O
2.6019 1.0791 1.0401 O
-0.1943 1.3348 8.1306 O
-1.3585 5.1780 8.2117 O
1.4376 4.9223 1.1212 O
-0.2942 4.2077 3.5931 O



Hf4Sc2Ni3C3 (PBE, optimized geometry); energy = -8.59 eV per atom; crystal system = monoclinic; V = 15.18 A^3/atom
1.0
4.8677 -2.8085 0.0000
4.8677 2.8085 0.0000
-3.3458 0.0000 13.3219
Hf Sc Ni C
8 4 6 6
Cartesian
0.8033 -0.4994 1.2381 Hf
0.7909 -0.4578 5.4224 Hf
5.5864 0.4994 12.0838 Hf
7.2716 -0.4578 1.2386 Hf
5.5988 0.4578 7.8995 Hf
-0.8696 0.4994 7.8990 Hf
7.2593 -0.4994 5.4229 Hf
-0.8819 0.4578 12.0833 Hf
2.3179 0.4597 11.8782 Sc
2.3989 0.4597 8.1046 Sc
4.0718 -0.4597 1.4437 Sc
3.9908 -0.4597 5.2173 Sc
-0.0485 -0.9098 9.9898 Ni
6.4382 0.9098 3.3321 Ni
2.3584 -2.3495 9.9914 Ni
4.7653 -0.9098 9.9930 Ni
1.6244 0.9098 3.3289 Ni
4.0313 2.3495 3.3305 Ni
2.3760 -1.4167 6.6609 C
2.4339 -1.4042 0.0000 C
5.6866 -1.4167 0.0000 C
0.7610 1.4042 6.6609 C
4.0137 1.4167 6.6609 C
4.0489 1.4167 0.0000 C



CsIn4Au4 (PBE, optimized geometry); energy = -3.04 eV per atom; crystal system = tetragonal; V = 26.48 A^3/atom
1.0
-1.6944 -3.4219 -6.0047
6.7638 -2.0916 -0.7167
-1.8789 -7.7762 4.9616
Au In Cs
8 8 2
Cartesian
-1.1372 -3.6188 -0.1714 Au
2.7324 -3.0261 -0.7085 Au
1.7059 -5.0992 -4.3464 Au
3.0202 -9.8606 0.5505 Au
-1.8051 -4.9675 -2.5382 Au
-1.0776 -8.5935 0.9847 Au
3.4599 -6.6520 2.8144 Au
0.7939 -5.8276 3.0969 Au
4.0032 -4.3081 -2.8910 In
-2.4509 -7.4632 -1.3498 In
0.5728 -3.2473 -2.5275 In
-1.6158 -5.7769 1.6095 In
1.3321 -8.6442 2.4722 In
1.0225 -3.3975 1.6476 In
0.4728 -10.3797 -0.5733 In
4.3558 -4.4283 1.2944 In
1.5952 -6.6448 -0.8799 Cs
0.0000 0.0000 0.0000 Cs



Y4Zn2CN (PBE, optimized geometry); energy = -6.28 eV per atom; crystal system = trigonal; V = 20.54 A^3/atom
1.0
3.5558 0.0000 0.0000
-1.7779 3.0794 0.0000
0.0000 0.0000 15.0032
C N Y Zn
1 1 4 2
Cartesian
0.0000 0.0000 0.0000 C
0.0000 0.0000 7.5016 N
1.7779 1.0265 8.8555 Y
1.7779 1.0265 13.6334 Y
0.0000 2.0529 6.1477 Y
0.0000 2.0529 1.3699 Y
0.0000 2.0529 11.1793 Zn
1.7779 1.0265 3.8239 Zn



Er5F (PBE, optimized geometry); energy = -3.70 eV per atom; crystal system = hexagonal; V = 32.85 A^3/atom
1.0
-2.9841 -1.8687 -5.1259
-0.9895 -2.9066 5.4079
-4.3944 3.7275 1.1994
Er F
5 1
Cartesian
-3.6893 0.9294 -1.9633 Er
-2.3192 -2.2146 -1.6147 Er
-2.6920 0.4105 3.3036 Er
-4.1840 -0.5239 0.7406 Er
-1.6544 -2.5606 1.8966 Er
0.0000 0.0000 0.0000 F



Y2Ag2O5 (PBE, optimized geometry); energy = -6.41 eV per atom; crystal system = tetragonal; V = 15.73 A^3/atom; excess energy over the best structure of this formula in the dataset = 0.0000 eV/atom
1.0
8.6233 0.0000 0.0000
0.0000 4.0516 0.0000
0.0000 0.0000 4.0516
O Y Ag
5 2 2
Cartesian
1.3493 2.0258 0.0000 O
1.3493 0.0000 2.0258 O
4.3116 2.0258 2.0258 O
7.2739 2.0258 0.0000 O
7.2739 0.0000 2.0258 O
6.4915 2.0258 2.0258 Y
2.1318 2.0258 2.0258 Y
4.3116 0.0000 0.0000 Ag
0.0000 0.0000 0.0000 Ag



NaHfAgS3 (PBE, optimized geometry); energy = -5.50 eV per atom; crystal system = orthorhombic; V = 21.93 A^3/atom; excess energy over the best structure of this formula in the dataset = 0.0210 eV/atom
1.0
-6.9361 4.6203 -7.1627
-1.2078 -3.3206 -0.9724
-9.1784 0.6188 9.2871
S Na Hf Ag
12 4 4 4
Cartesian
-12.9359 2.1523 -1.6416 S
-6.8843 1.5619 -0.2359 S
-9.6818 1.3851 -3.0634 S
-5.3469 1.9073 -3.3248 S
-7.6404 0.5334 4.2155 S
-8.2851 3.7327 -5.9090 S
-4.3863 -0.2339 2.7937 S
-4.2209 -1.0594 -1.4985 S
-9.0371 -1.8142 7.0611 S
-11.9753 0.0112 4.4769 S
-13.1013 2.9779 2.6506 S
-10.4379 0.3566 1.3880 S
-7.6292 -0.7369 1.6336 Na
-6.5832 1.2689 -6.5153 Na
-10.7390 0.6496 7.6674 Na
-9.6930 2.6554 -0.4815 Na
-11.0167 2.0282 3.3042 Hf
-6.3055 -0.1098 -2.1521 Hf
-10.2999 2.2359 -5.2009 Hf
-7.0223 -0.3174 6.3530 Hf
-7.6029 2.8109 -3.6086 Ag
-4.6410 0.5349 0.4849 Ag
-12.6812 1.3836 0.6672 Ag
-9.7193 -0.8924 4.7607 Ag



CsHoPbSe3 (PBE, optimized geometry); energy = -4.47 eV per atom; crystal system = orthorhombic; V = 36.37 A^3/atom; excess energy over the best structure of this formula in the dataset = 0.0720 eV/atom
1.0
2.0918 -8.5991 0.0000
2.0918 8.5991 0.0000
0.0000 0.0000 12.1313
Pb Se Ho Cs
2 6 2 2
Cartesian
2.0918 -6.9136 3.0328 Pb
2.0918 6.9136 9.0985 Pb
2.0918 6.6663 6.1400 Se
2.0918 6.6663 12.0569 Se
2.0918 -6.6663 5.9913 Se
2.0918 0.2358 9.0985 Se
2.0918 -6.6663 0.0744 Se
2.0918 -0.2358 3.0328 Se
2.0918 0.0000 6.0656 Ho
2.0918 0.0000 0.0000 Ho
2.0918 -5.1901 9.0985 Cs
2.0918 5.1901 3.0328 Cs



TlGa3Au2 (PBE, optimized geometry); energy = -3.13 eV per atom; crystal system = tetragonal; V = 22.17 A^3/atom
1.0
4.5462 0.0000 0.0000
0.0000 4.5462 0.0000
0.0000 0.0000 6.4361
Ga Au Tl
3 2 1
Cartesian
2.2731 2.2731 3.2180 Ga
0.0000 0.0000 0.0000 Ga
2.2731 2.2731 0.0000 Ga
2.2731 0.0000 1.4155 Au
0.0000 2.2731 5.0205 Au
0.0000 0.0000 3.2180 Tl



FeCoRe6 (PBE, optimized geometry); energy = -11.28 eV per atom; crystal system = hexagonal; V = 13.75 A^3/atom; ΔH_f (0 K) = -0.03 eV per atom
1.0
5.4029 0.0000 0.0000
-2.7014 4.6790 0.0000
0.0000 0.0000 4.3527
Re Fe Co
6 1 1
Cartesian
1.3527 2.3384 2.1764 Re
2.7014 0.0023 2.1764 Re
4.0549 0.7782 0.0000 Re
2.7015 3.1226 0.0000 Re
4.0502 2.3384 2.1764 Re
1.3479 0.7782 0.0000 Re
0.0000 3.1194 0.0000 Fe
0.0000 0.0000 2.1764 Co



TaTe2Br6 (PBE, optimized geometry); energy = -3.77 eV per atom; crystal system = triclinic; V = 34.40 A^3/atom
1.0
6.9513 0.0496 -0.0157
0.6446 7.1804 -0.0116
-1.8088 -1.0490 12.4198
Te Br Ta
4 12 2
Cartesian
1.0791 0.6755 5.8503 Te
2.9919 0.4962 7.7953 Te
2.7952 5.6847 4.5972 Te
4.7080 5.5054 6.5422 Te
3.3080 1.0062 1.7347 Br
4.4094 2.6349 4.7311 Br
6.2275 -0.0951 3.2716 Br
-0.6555 4.3730 12.2736 Br
4.5217 4.4259 1.6568 Br
1.2654 1.7550 10.7357 Br
-0.4404 6.2760 9.1209 Br
2.4791 5.1747 10.6577 Br
1.3777 3.5460 7.6614 Br
0.6018 3.1414 3.2385 Br
6.4426 1.8079 0.1189 Br
5.1852 3.0395 9.1540 Br
0.3828 3.9712 10.0901 Ta
5.4043 2.2097 2.3023 Ta



Nb4CdPbC2 (PBE, optimized geometry); energy = -8.21 eV per atom; crystal system = hexagonal; V = 16.46 A^3/atom
1.0
-0.5041 -3.1233 -0.7192
2.1592 0.8112 2.2817
-10.3655 -0.6378 10.0357
Nb Pb C Cd
4 1 2 1
Cartesian
-6.9450 -0.4273 6.7240 Nb
-1.3820 -1.9204 1.9906 Nb
-8.2162 -2.3409 8.6074 Nb
-3.4205 -0.2105 3.3117 Nb
0.0000 0.0000 0.0000 Pb
-6.4824 -0.9774 8.7885 C
-1.3403 -0.6610 3.8100 C
-4.7991 -2.1307 5.2990 Cd



HfZrHg2 (PBE, optimized geometry); energy = -4.46 eV per atom; crystal system = cubic; V = 21.99 A^3/atom; excess energy over the best structure of this formula in the dataset = 0.3883 eV/atom; ΔH_f (0 K) = 0.32 eV per atom
1.0
-2.1373 -0.8921 4.4219
-3.7242 2.9108 1.6047
-4.6553 -1.7897 0.2063
Zr Hg Hf
1 2 1
Cartesian
-5.2584 0.1145 3.1164 Zr
0.0000 0.0000 0.0000 Hg
-7.8876 0.1717 4.6746 Hg
-2.6292 0.0572 1.5582 Hf



Rb2TbCuBr6 (PBE, optimized geometry); energy = -3.51 eV per atom; crystal system = tetragonal; V = 33.27 A^3/atom
1.0
-3.8826 3.8826 5.5180
3.8826 -3.8826 5.5180
3.8826 3.8826 -5.5180
Br Tb Rb Cu
6 1 2 1
Cartesian
1.8981 -1.8981 5.5180 Br
1.8981 1.8981 5.5180 Br
1.9845 1.9845 0.0000 Br
-1.8981 1.8981 5.5180 Br
0.0000 0.0000 2.8067 Br
0.0000 0.0000 8.2294 Br
0.0000 0.0000 0.0000 Tb
0.0000 3.8826 2.7590 Rb
3.8826 0.0000 2.7590 Rb
0.0000 0.0000 5.5180 Cu



ScPaPt (PBE, optimized geometry); energy = -7.71 eV per atom; crystal system = cubic; V = 24.94 A^3/atom; excess energy over the best structure of this formula in the dataset = 0.0000 eV/atom; ΔH_f (0 K) = -0.41 eV per atom
1.0
0.0000 3.3445 3.3445
3.3445 0.0000 3.3445
3.3445 3.3445 0.0000
Sc Pt Pa
1 1 1
Cartesian
5.0167 5.0167 5.0167 Sc
0.0000 0.0000 0.0000 Pt
1.6722 1.6722 1.6722 Pa



Pr3Tm3CoTe2 (PBE, optimized geometry); energy = -5.29 eV per atom; crystal system = hexagonal; V = 27.83 A^3/atom; excess energy over the best structure of this formula in the dataset = 0.0000 eV/atom
1.0
8.4624 0.0000 0.0000
-4.2312 7.3287 0.0000
0.0000 0.0000 4.0391
Te Tm Co Pr
2 3 1 3
Cartesian
0.0000 4.8858 2.0196 Te
4.2312 2.4429 2.0196 Te
-0.9634 1.6687 2.0196 Tm
3.2678 5.6599 2.0196 Tm
1.9269 0.0000 2.0196 Tm
0.0000 0.0000 0.0000 Co
5.0724 0.0000 0.0000 Pr
-2.5362 4.3928 0.0000 Pr
1.6950 2.9358 0.0000 Pr



YEr2Lu4Ni2S2 (PBE, optimized geometry); energy = -5.70 eV per atom; crystal system = orthorhombic; V = 22.24 A^3/atom
1.0
3.9217 -7.3837 -2.6327
-7.6878 -0.6662 4.1574
5.2474 1.2882 -6.9018
Ni Er S Lu Y
2 2 2 4 1
Cartesian
0.6978 -4.7357 -1.6937 Ni
1.5008 -0.4928 -3.9739 Ni
-0.8652 -2.4274 -2.3084 Er
-3.3612 -0.7681 0.2870 Er
-0.5271 -1.1267 0.2134 S
3.6712 -5.0000 -4.3975 S
-6.1787 -0.5380 2.8444 Lu
2.5026 -2.7328 -2.8446 Lu
0.7797 -5.1639 -4.3912 Lu
5.9035 -4.9936 -6.3810 Lu
-1.8519 -3.9585 0.7497 Y



HfSi2Os (PBE, optimized geometry); energy = -8.13 eV per atom; crystal system = cubic; V = 15.84 A^3/atom
1.0
0.0000 3.1639 3.1639
3.1639 0.0000 3.1639
3.1639 3.1639 0.0000
Os Si Hf
1 2 1
Cartesian
3.1639 3.1639 3.1639 Os
4.7459 4.7459 4.7459 Si
0.0000 0.0000 0.0000 Si
1.5820 1.5820 1.5820 Hf



MgNbCoSb (PBE, optimized geometry); energy = -5.45 eV per atom; crystal system = cubic; V = 16.99 A^3/atom; excess energy over the best structure of this formula in the dataset = 0.0000 eV/atom
1.0
0.0000 3.2390 3.2390
3.2390 0.0000 3.2390
3.2390 3.2390 0.0000
Nb Sb Mg Co
1 1 1 1
Cartesian
1.6195 1.6195 1.6195 Nb
0.0000 0.0000 0.0000 Sb
3.2390 3.2390 3.2390 Mg
4.8586 4.8586 4.8586 Co